# TlCr3Co

An optimized crystal structure of TlCr3Co (GGA-PBE, Alexandria).

Unit cell a=4.429 b=4.429 c=4.429 alpha=90.00 beta=90.00 gamma=90.00
Space group Pm-3m (No. 221)
Symmetry-distinct sites (fractional):
Tl (0.000, 0.000, 0.000) (multiplicity 1)
Cr (0.000, 0.500, 0.500) (multiplicity 3)
Co (0.500, 0.500, 0.500) (multiplicity 1)

spin magnetization: 7.26 μB/f.u.
raw total energy: -6.59 eV per atom